# In2SnBr PBE-GGA relaxed
data_In2SnBr
_chemical_formula_sum 'In2 Sn1 Br1'
_cell_length_a 5.811
_cell_length_b 5.811
_cell_length_c 3.404
_cell_angle_alpha 90.00
_cell_angle_beta 90.00
_cell_angle_gamma 90.00
_symmetry_space_group_name_H-M 'P 4/m m m'
_symmetry_Int_Tables_number 123
_symmetry_space_group_name_Hall '-P 4 2'
loop_
_atom_site_label
_atom_site_type_symbol
_atom_site_fract_x
_atom_site_fract_y
_atom_site_fract_z
_atom_site_occupancy
In1 In 0.000 0.500 0.000 1
Sn1 Sn 0.000 0.000 0.500 1
Br1 Br 0.500 0.500 0.500 1
# **Calculated total energy**: -2.975 eV/atom
# **Raw formation energy**: -187 meV per atom